No. 1
# BaCu2Pd2 PBE-GGA relaxed
data_BaCu2Pd2
_space_group_name_H-M_alt 'P 4/m b m'
_space_group_IT_number 127
_space_group_name_Hall '-P 4 2ab'
_cell_length_a 7.7624
_cell_length_b 7.7624
_cell_length_c 3.0908
_cell_angle_alpha 90.00
_cell_angle_beta 90.00
_cell_angle_gamma 90.00
loop_
_atom_site_label
_atom_site_fract_x
_atom_site_fract_y
_atom_site_fract_z
_atom_site_occupancy
Ba1 0.0000 0.0000 0.0000 1
Cu1 0.1164 0.3836 0.0000 1
Pd1 0.1691 0.6691 0.5000 1
# formation energy	-0.065	eV/atom
# E above lowest polymorph	151	meV/atom
# total moment	0.0	μB per cell

=====

No. 2
# Ba2CuPd PBE-GGA relaxed
data_Ba2CuPd
_space_group_name_H-M_alt 'P 4/m m m'
_space_group_IT_number 123
_space_group_name_Hall '-P 4 2'
_cell_length_a 5.5471
_cell_length_b 5.5471
_cell_length_c 3.9709
_cell_angle_alpha 90.00
_cell_angle_beta 90.00
_cell_angle_gamma 90.00
loop_
_atom_site_label
_atom_site_fract_x
_atom_site_fract_y
_atom_site_fract_z
_atom_site_occupancy
Ba1 0.0000 0.5000 0.0000 1
Cu1 0.0000 0.0000 0.5000 1
Pd1 0.5000 0.5000 0.5000 1
# formation energy	-0.217	eV/atom
# total moment	0.0	μB per cell

=====

No. 3
# Ba4Cu2Pd PBE-GGA relaxed
data_Ba4Cu2Pd
_space_group_name_H-M_alt 'I 4/m m m'
_space_group_IT_number 139
_space_group_name_Hall '-I 4 2'
_cell_length_a 6.2988
_cell_length_b 6.2988
_cell_length_c 15.2186
_cell_angle_alpha 90.00
_cell_angle_beta 90.00
_cell_angle_gamma 90.00
loop_
_atom_site_label
_atom_site_fract_x
_atom_site_fract_y
_atom_site_fract_z
_atom_site_occupancy
Ba1 0.0000 0.0000 0.2090 1
Ba2 0.0000 0.5000 0.0000 1
Cu1 0.0000 0.0000 0.4203 1
Pd1 0.0000 0.0000 0.0000 1
# formation energy	-0.048	eV/atom
# total moment	0.0	μB per cell

=====

No. 4
# BaCu3Pd2 PBE-GGA relaxed
data_BaCu3Pd2
_space_group_name_H-M_alt 'C m c m'
_space_group_IT_number 63
_space_group_name_Hall '-C 2c 2'
_cell_length_a 10.1563
_cell_length_b 8.2807
_cell_length_c 5.5355
_cell_angle_alpha 90.00
_cell_angle_beta 90.00
_cell_angle_gamma 90.00
loop_
_atom_site_label
_atom_site_fract_x
_atom_site_fract_y
_atom_site_fract_z
_atom_site_occupancy
Ba1 0.0000 0.1817 0.2500 1
Cu1 0.0000 0.4214 0.7500 1
Cu2 0.1939 0.2332 0.7500 1
Pd1 0.2076 0.5000 0.0000 1
# formation energy	-0.211	eV/atom
# total moment	0.0	μB per cell

=====

No. 5
# BaCuPd PBE-GGA relaxed
data_BaCuPd
_space_group_name_H-M_alt 'P 1 m 1'
_space_group_IT_number 6
_cell_length_a 4.8364
_cell_length_b 4.5281
_cell_length_c 7.2937
_cell_angle_alpha 90.00
_cell_angle_beta 103.71
_cell_angle_gamma 90.00
loop_
_space_group_symop_operation_xyz
'x,y,z'
'x,-y,z'
loop_
_atom_site_label
_atom_site_fract_x
_atom_site_fract_y
_atom_site_fract_z
_atom_site_occupancy
Ba1 0.0000 0.0000 0.0000 1
Ba2 0.2727 0.0000 0.5707 1
Cu1 0.3860 0.5000 0.2789 1
Cu2 0.8830 0.5000 0.2910 1
Pd1 0.5120 0.5000 0.9454 1
Pd2 0.7607 0.5000 0.6253 1
# formation energy	-0.190	eV/atom
# E above lowest polymorph	118	meV/atom
# total moment	0.0	μB per cell

=====

No. 6
# BaCu2Pd2 PBE-GGA relaxed
data_BaCu2Pd2
_space_group_name_H-M_alt 'P 4/m b m'
_space_group_IT_number 127
_space_group_name_Hall '-P 4 2ab'
_cell_length_a 7.7585
_cell_length_b 7.7585
_cell_length_c 3.0877
_cell_angle_alpha 90.00
_cell_angle_beta 90.00
_cell_angle_gamma 90.00
loop_
_atom_site_label
_atom_site_fract_x
_atom_site_fract_y
_atom_site_fract_z
_atom_site_occupancy
Ba1 0.0000 0.0000 0.0000 1
Cu1 0.1538 0.3462 0.5000 1
Pd1 0.1329 0.6329 0.0000 1
# formation energy	-0.068	eV/atom
# E above lowest polymorph	148	meV/atom
# total moment	0.0	μB per cell

=====

What is the formula in the first record? BaCu2Pd2